# 1
# Y2RuPb

An optimized crystal structure of Y2RuPb (PBE, Alexandria via LeMat-Bulk).

Geometry as CIF:
```
data_Y2RuPb
_cell_length_a 3.444
_cell_length_b 3.444
_cell_length_c 8.455
_cell_angle_alpha 90.00
_cell_angle_beta 90.00
_cell_angle_gamma 90.00
_space_group_name_H-M_alt 'P 4 m m'
_space_group_IT_number 99
loop_
_space_group_symop_operation_xyz
'x,y,z'
'-y,x,z'
'-x,-y,z'
'y,-x,z'
'-x,y,z'
'y,x,z'
'x,-y,z'
'-y,-x,z'
loop_
_atom_site_label
_atom_site_type_symbol
_atom_site_fract_x
_atom_site_fract_y
_atom_site_fract_z
_atom_site_occupancy
Y1 Y 0.000 0.000 0.000 1
Y2 Y 0.500 0.500 0.354 1
Ru1 Ru 0.500 0.500 0.802 1
Pb1 Pb 0.000 0.000 0.616 1
```

- Theoretical density: 8.05 g/cm3
- Spin magnetization: 0.00 Bohr magnetons per cell
- Calculated volume: 100.32 Å³/f.u.
- Energy: -6.564 eV/atom
- ΔH_f (0 K): -0.344 eV/f.u.



# 2
# SrBiPbAu2

An optimized crystal structure of SrBiPbAu2 (PBE, Alexandria via LeMat-Bulk).

Geometry as CIF:
```
data_SrBiPbAu2
_cell_length_a 5.501
_cell_length_b 5.501
_cell_length_c 8.450
_cell_angle_alpha 90.00
_cell_angle_beta 90.00
_cell_angle_gamma 90.00
_space_group_name_H-M_alt 'P 4/m m m'
_space_group_IT_number 123
_space_group_name_Hall '-P 4 2'
loop_
_atom_site_label
_atom_site_type_symbol
_atom_site_fract_x
_atom_site_fract_y
_atom_site_fract_z
_atom_site_occupancy
Sr1 Sr 0.000 0.000 0.000 1
Bi1 Bi 0.500 0.500 0.500 1
Pb1 Pb 0.000 0.000 0.500 1
Au1 Au 0.000 0.500 0.000 1
```

- Theoretical density: 5.83 g/cm3
- Spin magnetization: 0.10 Bohr magnetons per cell
- Calculated volume: 255.74 Å³/f.u.
- Energy: -2.421 eV/atom
- ΔH_f (0 K): 3.723 eV/f.u.



# 3
# Mg2ScTa

An optimized crystal structure of Mg2ScTa (PBE, Alexandria via LeMat-Bulk).

Geometry as CIF:
```
data_Mg2ScTa
_cell_length_a 7.908
_cell_length_b 7.908
_cell_length_c 5.551
_cell_angle_alpha 90.00
_cell_angle_beta 90.00
_cell_angle_gamma 90.00
_space_group_name_H-M_alt 'I -4 2 d'
_space_group_IT_number 122
_space_group_name_Hall 'I -4 2bw'
loop_
_atom_site_label
_atom_site_type_symbol
_atom_site_fract_x
_atom_site_fract_y
_atom_site_fract_z
_atom_site_occupancy
Mg1 Mg 0.244 0.250 0.125 1
Sc1 Sc 0.000 0.000 0.500 1
Ta1 Ta 0.000 0.000 0.000 1
```

- Distance to the lowest polymorph of the same formula: 641 meV per atom
- Theoretical density: 5.25 g/cm3
- Spin magnetization: 0.00 Bohr magnetons per cell
- Calculated volume: 86.79 Å³/f.u.
- Energy: -4.632 eV/atom
- ΔH_f (0 K): 2.846 eV/f.u.



# 4
# ZrNb2Co

An optimized crystal structure of ZrNb2Co (PBE, Alexandria via LeMat-Bulk).

Geometry as CIF:
```
data_ZrNb2Co
_cell_length_a 3.163
_cell_length_b 8.748
_cell_length_c 5.298
_cell_angle_alpha 90.00
_cell_angle_beta 105.14
_cell_angle_gamma 90.00
_space_group_name_H-M_alt 'P 1 21/m 1'
_space_group_IT_number 11
loop_
_space_group_symop_operation_xyz
'x,y,z'
'-x,-y,-z'
'-x,y+1/2,-z'
'x,-y+1/2,z'
loop_
_atom_site_label
_atom_site_type_symbol
_atom_site_fract_x
_atom_site_fract_y
_atom_site_fract_z
_atom_site_occupancy
Zr1 Zr 0.082 0.250 0.162 1
Nb1 Nb 0.353 0.047 0.731 1
Co1 Co 0.216 0.750 0.421 1
```

- Distance to the lowest polymorph of the same formula: 0 meV per atom
- Theoretical density: 7.88 g/cm3
- Spin magnetization: 0.00 Bohr magnetons per cell
- Calculated volume: 70.77 Å³/f.u.
- Energy: -9.036 eV/atom
- ΔH_f (0 K): -0.351 eV/f.u.



# 5
# PtRh2Au

An optimized crystal structure of PtRh2Au (PBE, Alexandria via LeMat-Bulk).

Geometry as CIF:
```
data_PtRh2Au
_cell_length_a 2.8078
_cell_length_b 2.8078
_cell_length_c 27.2245
_cell_angle_alpha 90.00
_cell_angle_beta 90.00
_cell_angle_gamma 120.00
_space_group_name_H-M_alt 'R -3 m'
_space_group_IT_number 166
_space_group_name_Hall '-R 3 2"'
loop_
_atom_site_label
_atom_site_type_symbol
_atom_site_fract_x
_atom_site_fract_y
_atom_site_fract_z
_atom_site_occupancy
Pt1 Pt 0.0000 0.0000 0.0000 1
Rh1 Rh 0.0000 0.0000 0.2529 1
Au1 Au 0.0000 0.0000 0.5000 1
```

- Distance to the lowest polymorph of the same formula: 45 meV per atom
- Theoretical density: 16.02 g/cm3
- Spin magnetization: 0.01 Bohr magnetons per cell
- Calculated volume: 61.96 Å³/f.u.
- Energy: -5.902 eV/atom
- ΔH_f (0 K): 0.412 eV/f.u.



# 6
# SrZn2Cd3

An optimized crystal structure of SrZn2Cd3 (PBE, Alexandria via LeMat-Bulk).

Geometry as CIF:
```
data_SrZn2Cd3
_cell_length_a 16.969
_cell_length_b 4.592
_cell_length_c 8.282
_cell_angle_alpha 90.00
_cell_angle_beta 116.39
_cell_angle_gamma 90.00
_space_group_name_H-M_alt 'C 1 2/m 1'
_space_group_IT_number 12
loop_
_space_group_symop_operation_xyz
'x,y,z'
'-x,-y,-z'
'-x,y,-z'
'x,-y,z'
'x+1/2,y+1/2,z'
'-x+1/2,-y+1/2,-z'
'-x+1/2,y+1/2,-z'
'x+1/2,-y+1/2,z'
loop_
_atom_site_label
_atom_site_type_symbol
_atom_site_fract_x
_atom_site_fract_y
_atom_site_fract_z
_atom_site_occupancy
Sr1 Sr 0.148 0.000 0.075 1
Zn1 Zn 0.016 0.500 0.160 1
Zn2 Zn 0.195 0.000 0.691 1
Cd1 Cd 0.033 0.000 0.360 1
Cd2 Cd 0.110 0.500 0.716 1
Cd3 Cd 0.182 0.500 0.444 1
```

- Distance to the lowest polymorph of the same formula: 15 meV per atom
- Theoretical density: 6.38 g/cm3
- Spin magnetization: 0.00 Bohr magnetons per cell
- Calculated volume: 144.54 Å³/f.u.
- Energy: -1.347 eV/atom
- ΔH_f (0 K): -1.105 eV/f.u.



# 7
# Na3MoH

An optimized crystal structure of Na3MoH (PBE, Alexandria via LeMat-Bulk).

Geometry as CIF:
```
data_Na3MoH
_cell_length_a 4.895
_cell_length_b 4.895
_cell_length_c 4.895
_cell_angle_alpha 90.00
_cell_angle_beta 90.00
_cell_angle_gamma 90.00
_space_group_name_H-M_alt 'P m -3 m'
_space_group_IT_number 221
_space_group_name_Hall '-P 4 2 3'
loop_
_atom_site_label
_atom_site_type_symbol
_atom_site_fract_x
_atom_site_fract_y
_atom_site_fract_z
_atom_site_occupancy
Na1 Na 0.000 0.000 0.500 1
Mo1 Mo 0.500 0.500 0.500 1
H1 H 0.000 0.000 0.000 1
```

- Theoretical density: 2.35 g/cm3
- Spin magnetization: 5.09 Bohr magnetons per cell
- Calculated volume: 117.28 Å³/f.u.
- Energy: -2.745 eV/atom



# 8
# LiSn6Pb

An optimized crystal structure of LiSn6Pb (PBE, Alexandria via LeMat-Bulk).

Geometry as CIF:
```
data_LiSn6Pb
_cell_length_a 4.572
_cell_length_b 4.572
_cell_length_c 10.256
_cell_angle_alpha 90.00
_cell_angle_beta 90.00
_cell_angle_gamma 90.00
_space_group_name_H-M_alt 'P 4/m m m'
_space_group_IT_number 123
_space_group_name_Hall '-P 4 2'
loop_
_atom_site_label
_atom_site_type_symbol
_atom_site_fract_x
_atom_site_fract_y
_atom_site_fract_z
_atom_site_occupancy
Li1 Li 0.000 0.000 0.000 1
Sn1 Sn 0.000 0.500 0.231 1
Sn2 Sn 0.500 0.500 0.000 1
Sn3 Sn 0.500 0.500 0.500 1
Pb1 Pb 0.000 0.000 0.500 1
```

- Theoretical density: 7.17 g/cm3
- Spin magnetization: 0.00 Bohr magnetons per cell
- Calculated volume: 214.41 Å³/f.u.
- Energy: -3.729 eV/atom
- ΔH_f (0 K): -0.190 eV/f.u.



# 9
# Sc2PbI

An optimized crystal structure of Sc2PbI (PBE, Alexandria via LeMat-Bulk).

Geometry as CIF:
```
data_Sc2PbI
_cell_length_a 3.5595
_cell_length_b 3.5595
_cell_length_c 31.3715
_cell_angle_alpha 90.00
_cell_angle_beta 90.00
_cell_angle_gamma 120.00
_space_group_name_H-M_alt 'R -3 m'
_space_group_IT_number 166
_space_group_name_Hall '-R 3 2"'
loop_
_atom_site_label
_atom_site_type_symbol
_atom_site_fract_x
_atom_site_fract_y
_atom_site_fract_z
_atom_site_occupancy
Sc1 Sc 0.0000 0.0000 0.0936 1
Pb1 Pb 0.0000 0.0000 0.0000 1
I1 I 0.0000 0.0000 0.5000 1
```

- Formation energy (no corrections): -0.08 eV/atom
- Distance to the lowest polymorph of the same formula: 284 meV per atom
- Theoretical density: 6.14 g/cm3
- Spin magnetization: 0.01 Bohr magnetons per cell
- Calculated volume: 114.74 Å³/f.u.
- Energy: -4.560 eV/atom



# 10
# SiOsSe2

An optimized crystal structure of SiOsSe2 (PBE, Alexandria via LeMat-Bulk).

Geometry as CIF:
```
data_SiOsSe2
_cell_length_a 4.190
_cell_length_b 4.190
_cell_length_c 7.405
_cell_angle_alpha 90.00
_cell_angle_beta 90.00
_cell_angle_gamma 90.00
_space_group_name_H-M_alt 'I -4 m 2'
_space_group_IT_number 119
_space_group_name_Hall 'I -4 -2'
loop_
_atom_site_label
_atom_site_type_symbol
_atom_site_fract_x
_atom_site_fract_y
_atom_site_fract_z
_atom_site_occupancy
Si1 Si 0.000 0.000 0.000 1
Os1 Os 0.000 0.500 0.750 1
Se1 Se 0.000 0.000 0.500 1
Se2 Se 0.000 0.500 0.250 1
```

- Formation energy (no corrections): 0.74 eV/atom
- Theoretical density: 9.61 g/cm3
- Spin magnetization: 0.00 Bohr magnetons per cell
- Calculated volume: 65.00 Å³/f.u.
- Energy: -5.163 eV/atom



# 11
# MgBeAu2

An optimized crystal structure of MgBeAu2 (PBE, Alexandria via LeMat-Bulk).

Geometry as CIF:
```
data_MgBeAu2
_cell_length_a 3.691
_cell_length_b 4.587
_cell_length_c 7.545
_cell_angle_alpha 90.00
_cell_angle_beta 90.00
_cell_angle_gamma 90.00
_space_group_name_H-M_alt 'I m m m'
_space_group_IT_number 71
_space_group_name_Hall '-I 2 2'
loop_
_atom_site_label
_atom_site_type_symbol
_atom_site_fract_x
_atom_site_fract_y
_atom_site_fract_z
_atom_site_occupancy
Mg1 Mg 0.000 0.000 0.000 1
Be1 Be 0.000 0.000 0.500 1
Au1 Au 0.000 0.500 0.204 1
```

- Distance to the lowest polymorph of the same formula: 69 meV per atom
- Theoretical density: 11.11 g/cm3
- Spin magnetization: 0.00 Bohr magnetons per cell
- Calculated volume: 63.87 Å³/f.u.
- Energy: -3.242 eV/atom
- ΔH_f (0 K): -1.094 eV/f.u.



# 12
# GdPaCuOs

An optimized crystal structure of GdPaCuOs (PBE, Alexandria via LeMat-Bulk).

Geometry as CIF:
```
data_GdPaCuOs
_cell_length_a 6.907
_cell_length_b 6.907
_cell_length_c 6.907
_cell_angle_alpha 90.00
_cell_angle_beta 90.00
_cell_angle_gamma 90.00
_space_group_name_H-M_alt 'F -4 3 m'
_space_group_IT_number 216
_space_group_name_Hall 'F -4 2 3'
loop_
_atom_site_label
_atom_site_type_symbol
_atom_site_fract_x
_atom_site_fract_y
_atom_site_fract_z
_atom_site_occupancy
Gd1 Gd 0.000 0.000 0.000 1
Pa1 Pa 0.000 0.000 0.500 1
Cu1 Cu 0.250 0.250 0.750 1
Os1 Os 0.250 0.250 0.250 1
```

- Theoretical density: 12.94 g/cm3
- Spin magnetization: 28.31 Bohr magnetons per cell
- Calculated volume: 82.39 Å³/f.u.
- Energy: -9.845 eV/atom
- ΔH_f (0 K): -0.476 eV/f.u.